(1)
This record from Alexandria describes crystalline Lu2TaCu at its relaxed geometry. The functional is GGA-PBE.

a b c (Å): 3.0774 3.0774 31.7815
angles (deg): 90.00 90.00 120.00
Space group R-3m (No. 166, hexagonal axes)
One atom of each set of equivalent atoms:
Lu: 0.0000 0.0000 0.0942 [6 per cell]
Ta: 0.0000 0.0000 0.0000 [3 per cell]
Cu: 0.0000 0.0000 0.5000 [3 per cell]

Properties
D(E_F), states/eV/cell: 15.78
Formation energy from the elements, eV per atom: 0.556
Crystal system: trigonal
Polymorph energy (0 for the lowest one), eV/atom: 0.5327
VASP energy, eV per cell: -68.3
Size of the total moment, Bohr magnetons per cell: 0.4

---

(2)
This record from Alexandria describes crystalline BeReOsW2 at its relaxed geometry. The functional is GGA-PBE.

a b c (Å): 4.7275 4.7275 4.7091
angles (deg): 90.00 90.00 90.00
Space group P4/mmm (No. 123)
One atom of each set of equivalent atoms:
Be: 0.0000 0.0000 0.0000 [1 per cell]
Re: 0.5000 0.5000 0.0000 [1 per cell]
Os: 0.5000 0.5000 0.5000 [1 per cell]
W: 0.0000 0.5000 0.5000 [2 per cell]

Properties
D(E_F), states/eV/cell: 5.56
Formation energy from the elements, eV per atom: 2.341
Crystal system: tetragonal
VASP energy, eV per cell: -41.6
Size of the total moment, Bohr magnetons per cell: 0.0

---

(3)
This record from Alexandria describes crystalline Ac3Cu2Sn3 at its relaxed geometry. The functional is GGA-PBE.

a b c (Å): 4.6121 12.0693 16.9996
angles (deg): 90.00 90.00 90.00
Space group Cmcm (No. 63)
One atom of each set of equivalent atoms:
Ac: 0.0000 0.0817 0.2500 [4 per cell]
Ac: 0.0000 0.3645 0.0965 [8 per cell]
Cu: 0.0000 0.3439 0.6198 [8 per cell]
Sn: 0.0000 0.0904 0.0557 [8 per cell]
Sn: 0.0000 0.2034 0.7500 [4 per cell]

Properties
D(E_F), states/eV/cell: 23.63
Formation energy from the elements, eV per atom: -0.537
Crystal system: orthorhombic
VASP energy, eV per cell: -147.3
Size of the total moment, Bohr magnetons per cell: 0.0

---

(4)
This record from Alexandria describes crystalline RbAgBi2Te4 at its relaxed geometry. The functional is GGA-PBE.

a b c (Å): 4.6130 15.2433 16.4800
angles (deg): 90.00 90.00 90.00
Space group Cmcm (No. 63)
One atom of each set of equivalent atoms:
Rb: 0.0000 0.1187 0.2500 [4 per cell]
Ag: 0.0000 0.1597 0.7500 [4 per cell]
Bi: 0.0000 0.3667 0.0638 [8 per cell]
Te: 0.0000 0.0000 0.0000 [4 per cell]
Te: 0.0000 0.2665 0.6039 [8 per cell]
Te: 0.0000 0.4380 0.2500 [4 per cell]

Properties
D(E_F), states/eV/cell: 1.69
Raw formation energy, eV per atom: -0.3622
Crystal system: orthorhombic
VASP energy, eV per cell: -108.2
Size of the total moment, Bohr magnetons per cell: 0.0

---

- size of the total moment of number 1 (Lu2TaCu)?
  0.4 Bohr magnetons per cell

---

- size of the total moment of number 1 (Lu2TaCu)?
  0.4 Bohr magnetons per cell

---

- size of the total moment of number 4 (RbAgBi2Te4)?
  0.0 Bohr magnetons per cell

---

- What is the formula in the fourth record?
  RbAgBi2Te4